# 1
# Pr2Al4NiPd3

An optimized crystal structure of Pr2Al4NiPd3 (PBE-GGA, Alexandria via LeMat-Bulk).

a = 4.4032 Å, b = 4.4032 Å, c = 9.9178 Å
α = 90.00°, β = 90.00°, γ = 90.00°
Positions (direct):
Pr  0.0000  0.5000  0.2422
Pr  0.5000  0.0000  0.7578
Al  0.0000  0.0000  0.5000
Al  0.0000  0.5000  0.8840
Al  0.5000  0.0000  0.1160
Al  0.5000  0.5000  0.5000
Ni  0.5000  0.5000  0.0000
Pd  0.0000  0.0000  0.0000
Pd  0.0000  0.5000  0.6310
Pd  0.5000  0.0000  0.3690

Computed properties:
Calculated formation energy (eV/atom): -0.766
D(E_F) (states/eV/cell): 9.6

# 2
# Sm2AlIr3

An optimized crystal structure of Sm2AlIr3 (PBE-GGA, Alexandria via LeMat-Bulk).

a = 5.1978 Å, b = 5.1978 Å, c = 5.1978 Å
α = 65.82°, β = 65.82°, γ = 65.82°
Positions (direct):
Sm  0.1265  0.1265  0.1265
Sm  0.8735  0.8735  0.8735
Al  0.5000  0.5000  0.5000
Ir  0.0000  0.5000  0.5000
Ir  0.5000  0.0000  0.5000
Ir  0.5000  0.5000  0.0000

Computed properties:
Calculated formation energy (eV/atom): -0.842
D(E_F) (states/eV/cell): 3.2
ΔE to the lowest computed polymorph (meV/atom): 0

# 3
# KCrSe2

An optimized crystal structure of KCrSe2 (PBE-GGA, Alexandria via LeMat-Bulk).

a = 6.6795 Å, b = 10.8716 Å, c = 6.4412 Å
α = 90.00°, β = 90.00°, γ = 90.00°
Positions (direct):
K  0.0573  0.1275  0.0000
K  0.4427  0.6275  0.5000
K  0.5573  0.3725  0.0000
K  0.9427  0.8725  0.5000
Cr  0.0482  0.3735  0.5563
Cr  0.4518  0.8735  0.0563
Cr  0.5482  0.1265  0.5563
Cr  0.9518  0.6265  0.0563
Se  0.0548  0.4299  0.9185
Se  0.1081  0.8204  0.9818
Se  0.3919  0.3204  0.4818
Se  0.4452  0.9299  0.4185
Se  0.5548  0.0701  0.9185
Se  0.6081  0.6796  0.9818
Se  0.8919  0.1796  0.4818
Se  0.9452  0.5701  0.4185

Computed properties:
E (eV/atom): -5.131
D(E_F) (states/eV/cell): 2.5

# 4
# SrAlAu3

An optimized crystal structure of SrAlAu3 (PBE-GGA, Alexandria via LeMat-Bulk).

a = 5.0029 Å, b = 5.0029 Å, c = 4.9556 Å
α = 90.00°, β = 90.00°, γ = 96.31°
Positions (direct):
Sr  0.0000  0.0000  0.0000
Al  0.5000  0.5000  0.5000
Au  0.0000  0.5000  0.5000
Au  0.5000  0.0000  0.5000
Au  0.5000  0.5000  0.0000

Computed properties:
Calculated formation energy (eV/atom): -0.487
D(E_F) (states/eV/cell): 1.2
ΔE to the lowest computed polymorph (meV/atom): 84

# 5
# MgNbH

An optimized crystal structure of MgNbH (PBE-GGA, Alexandria via LeMat-Bulk).

a = 4.2250 Å, b = 4.2250 Å, c = 4.2250 Å
α = 60.00°, β = 60.00°, γ = 60.00°
Positions (direct):
Mg  0.0000  0.0000  0.0000
Nb  0.2500  0.2500  0.2500
H  0.5000  0.5000  0.5000

Computed properties:
D(E_F) (states/eV/cell): 3.0
ΔE to the lowest computed polymorph (meV/atom): 1764

# 6
# LuPuCo2

An optimized crystal structure of LuPuCo2 (PBE-GGA, Alexandria via LeMat-Bulk).

a = 4.6619 Å, b = 4.6619 Å, c = 3.2509 Å
α = 90.00°, β = 90.00°, γ = 90.00°
Positions (direct):
Lu  0.0000  0.0000  0.0000
Pu  0.5000  0.5000  0.0000
Co  0.0000  0.5000  0.5000
Co  0.5000  0.0000  0.5000

Computed properties:
Calculated formation energy (eV/atom): -0.090
D(E_F) (states/eV/cell): 8.9
ΔE to the lowest computed polymorph (meV/atom): 20

# 7
# BRuN

An optimized crystal structure of BRuN (PBE-GGA, Alexandria via LeMat-Bulk).

a = 5.8333 Å, b = 5.8333 Å, c = 3.3212 Å
α = 90.00°, β = 90.00°, γ = 90.00°
Positions (direct):
B  0.0000  0.1914  0.0000
B  0.0000  0.8086  0.0000
B  0.1914  0.0000  0.5000
B  0.8086  0.0000  0.5000
Ru  0.2564  0.5000  0.0000
Ru  0.5000  0.2564  0.5000
Ru  0.5000  0.7436  0.5000
Ru  0.7436  0.5000  0.0000
N  0.0000  0.2057  0.5000
N  0.0000  0.7943  0.5000
N  0.2057  0.0000  0.0000
N  0.7943  0.0000  0.0000

Computed properties:
E (eV/atom): -7.269
D(E_F) (states/eV/cell): 7.5

# 8
# PrYTmCd

An optimized crystal structure of PrYTmCd (PBE-GGA, Alexandria via LeMat-Bulk).

a = 5.5081 Å, b = 5.5081 Å, c = 5.5081 Å
α = 60.00°, β = 60.00°, γ = 60.00°
Positions (direct):
Pr  0.0000  0.0000  0.0000
Y  0.5000  0.5000  0.5000
Tm  0.7500  0.7500  0.7500
Cd  0.2500  0.2500  0.2500

Computed properties:
Calculated formation energy (eV/atom): -0.046
D(E_F) (states/eV/cell): 5.3
ΔE to the lowest computed polymorph (meV/atom): 111

Q: Among the records above, which one has the highest D(E_F)?
A: Pr2Al4NiPd3